Entry 1:
{"formula": "NdMgScCu", "functional": "PBE-GGA", "state": "optimized geometry", "final_energy_ev_per_atom": -4.2202, "magmom_total_mub_per_fu": 0.00, "cell": [[0.0000, 3.5879, 3.5879], [3.5879, 0.0000, 3.5879], [3.5879, 3.5879, 0.0000]], "species": ["Nd", "Mg", "Sc", "Cu"], "fractional_positions": [[0.0000, 0.0000, 0.0000], [0.2500, 0.2500, 0.2500], [0.5000, 0.5000, 0.5000], [0.7500, 0.7500, 0.7500]]}



Entry 2:
{"formula": "RbSr2SnPt", "functional": "PBE-GGA", "state": "optimized geometry", "final_energy_ev_per_atom": -3.2730, "magmom_total_mub_per_fu": 0.67, "cell": [[6.0561, 0.0000, 0.0000], [0.0000, 6.0561, 0.0000], [0.0000, 0.0000, 5.2700]], "species": ["Rb", "Sr", "Sr", "Sn", "Pt"], "fractional_positions": [[0.0000, 0.0000, 0.0000], [0.0000, 0.5000, 0.5000], [0.5000, 0.0000, 0.5000], [0.5000, 0.5000, 0.0000], [0.5000, 0.5000, 0.5000]]}